The following is a DFT calculation (PBE) of crystalline Ac2AsCl2 at its relaxed geometry.

Cell lengths 7.7567, 4.4774, 9.9095 Å; angles 90.00, 90.08, 90.00 degrees
Last column: nearest neighbours and their distance in Å.
Space group C2/m (No. 12)
One atom of each set of equivalent atoms:
1 Ac 0.1670 0.0000 0.1767 [4 per cell]  3 Cl 3.07, 3 As 3.12
2 As 0.0000 0.5000 0.0000 [2 per cell]  6 Ac 3.12
3 Cl 0.1661 0.0000 0.6556 [4 per cell]  3 Ac 3.07

Distance to the lowest polymorph of the same formula ... 0.000 eV per formula unit
Formation energy from raw total energies ... -1923 meV/atom

---

The following is a DFT calculation (PBE) of crystalline Ac3As2Cl at its relaxed geometry.

Cell lengths 4.5171, 14.9628, 11.5377 Å; angles 90.00, 90.00, 90.00 degrees
Last column: nearest neighbours and their distance in Å.
Space group Cmcm (No. 63)
One atom of each set of equivalent atoms:
1 Ac 0.0000 0.1028 0.2500 [4 per cell]  2 Cl 2.95, 4 As 3.16-3.27
2 Ac 0.0000 0.3535 0.0589 [8 per cell]  1 Cl 2.87
3 As 0.0000 0.0000 0.0000 [4 per cell]  6 Ac 3.22-3.27
4 As 0.0000 0.2492 0.7500 [4 per cell]  6 Ac 3.16-3.51
5 Cl 0.0000 0.4764 0.2500 [4 per cell]  4 Ac 2.87-2.95

Formation energy from raw total energies ... -1337 meV/atom

---

The following is a DFT calculation (PBE) of crystalline Ac2AsCl2 at its relaxed geometry.

Cell lengths 4.4656, 4.4656, 30.9943 Å; angles 90.00, 90.00, 120.00 degrees
Last column: nearest neighbours and their distance in Å.
Space group R-3m (No. 166, hexagonal axes)
One atom of each set of equivalent atoms:
1 Ac 0.0000 0.0000 0.1100 [6 per cell]  3 Cl 3.07, 3 As 3.12
2 As 0.0000 0.0000 0.5000 [3 per cell]  6 Ac 3.12
3 Cl 0.0000 0.0000 0.2774 [6 per cell]  3 Ac 3.07

Distance to the lowest polymorph of the same formula ... 0.012 eV per formula unit
Formation energy from raw total energies ... -1921 meV/atom

---

The following is a DFT calculation (PBE) of crystalline AcAsCl6 at its relaxed geometry.

Cell lengths 6.8237, 12.2482, 6.7212 Å; angles 90.00, 105.46, 90.00 degrees
Last column: nearest neighbours and their distance in Å.
Space group C2/m (No. 12)
One atom of each set of equivalent atoms:
1 Ac 0.0000 0.0000 0.0000 [2 per cell]  6 Cl 2.87-2.91
2 As 0.0000 0.5000 0.5000 [2 per cell]  6 Cl 2.52-2.53
3 Cl 0.2120 0.3554 0.7269 [8 per cell]  1 As 2.53
4 Cl 0.2436 0.5000 0.2767 [4 per cell]  1 As 2.52

Formation energy from raw total energies ... -1465 meV/atom

---

The following is a DFT calculation (PBE) of crystalline AcAsCl at its relaxed geometry.

Cell lengths 5.0051, 5.0051, 3.9545 Å; angles 90.00, 90.00, 120.00 degrees
Last column: nearest neighbours and their distance in Å.
Space group P-6m2 (No. 187)
One atom of each set of equivalent atoms:
1 Ac 0.0000 0.0000 0.0000 [1 per cell]  3 Cl 2.89
2 As 0.6667 0.3333 0.5000 [1 per cell]  6 Ac 3.50, 6 Cl 3.50
3 Cl 0.3333 0.6667 0.0000 [1 per cell]  3 Ac 2.89

Distance to the lowest polymorph of the same formula ... 0.000 eV per formula unit
Formation energy from raw total energies ... -1214 meV/atom

---

The following is a DFT calculation (PBE) of crystalline AcAsCl at its relaxed geometry.

Cell lengths 4.2050, 4.2050, 9.8059 Å; angles 90.00, 90.00, 90.00 degrees
Last column: nearest neighbours and their distance in Å.
Space group I4mm (No. 107)
One atom of each set of equivalent atoms:
1 Ac 0.0000 0.0000 0.0000 [2 per cell]  5 Cl 3.15-3.45, 4 As 3.19
2 As 0.0000 0.0000 0.6191 [2 per cell]  1 Cl 2.92, 4 Ac 3.19
3 Cl 0.0000 0.0000 0.3210 [2 per cell]  1 As 2.92, 1 Ac 3.15

Distance to the lowest polymorph of the same formula ... 0.157 eV per formula unit
Formation energy from raw total energies ... -1161 meV/atom

---

The following is a DFT calculation (PBE) of crystalline Ac5As4Cl at its relaxed geometry.

Cell lengths 4.5280, 6.3685, 22.5801 Å; angles 90.00, 90.00, 90.00 degrees
Last column: nearest neighbours and their distance in Å.
Space group Immm (No. 71)
One atom of each set of equivalent atoms:
1 Ac 0.0000 0.0000 0.0000 [2 per cell]  4 As 3.16, 2 Cl 3.18
2 Ac 0.0000 0.0000 0.1997 [4 per cell]  6 As 3.18-3.23
3 Ac 0.0000 0.0000 0.3931 [4 per cell]  4 As 3.08-3.19, 2 Cl 3.31
4 As 0.0000 0.5000 0.1992 [4 per cell]  6 Ac 3.08-3.21
5 As 0.0000 0.5000 0.4026 [4 per cell]  6 Ac 3.16-3.23
6 Cl 0.0000 0.5000 0.0000 [2 per cell]  6 Ac 3.18-3.31

Formation energy from raw total energies ... -1532 meV/atom

---

The following is a DFT calculation (PBE) of crystalline AcEuAsCl at its relaxed geometry.

Cell lengths 7.5400, 7.5400, 7.5400 Å; angles 90.00, 90.00, 90.00 degrees
Last column: nearest neighbours and their distance in Å.
Space group F-43m (No. 216)
One atom of each set of equivalent atoms:
1 Ac 0.0000 0.0000 0.0000 [4 per cell]  4 As 3.26, 4 Cl 3.26
2 Eu 0.0000 0.0000 0.5000 [4 per cell]  4 Cl 3.26, 4 As 3.26
3 As 0.2500 0.2500 0.7500 [4 per cell]  4 Ac 3.26, 4 Eu 3.26
4 Cl 0.2500 0.2500 0.2500 [4 per cell]  4 Ac 3.26, 4 Eu 3.26

Formation energy from raw total energies ... -1413 meV/atom

---

The following is a DFT calculation (PBE) of crystalline AcGdAsCl at its relaxed geometry.

Cell lengths 7.4280, 7.4280, 7.4280 Å; angles 90.00, 90.00, 90.00 degrees
Last column: nearest neighbours and their distance in Å.
Space group F-43m (No. 216)
One atom of each set of equivalent atoms:
1 Ac 0.0000 0.0000 0.0000 [4 per cell]  4 Cl 3.22, 4 As 3.22
2 Gd 0.0000 0.0000 0.5000 [4 per cell]  4 Cl 3.22, 4 As 3.22
3 As 0.2500 0.2500 0.2500 [4 per cell]  4 Gd 3.22, 4 Ac 3.22
4 Cl 0.2500 0.2500 0.7500 [4 per cell]  4 Gd 3.22, 4 Ac 3.22

Formation energy from raw total energies ... -1296 meV/atom

---

The following is a DFT calculation (PBE) of crystalline Ac4GeAsCl2 at its relaxed geometry.

Cell lengths 7.5665, 4.5554, 7.8995 Å; angles 90.00, 110.34, 90.00 degrees
Last column: nearest neighbours and their distance in Å.
Space group P2/m (No. 10)
One atom of each set of equivalent atoms:
1 Ac 0.2345 0.0000 0.2433 [2 per cell]  2 Ge 3.11, 1 As 3.12, 3 Cl 3.23-3.24
2 Ac 0.2342 0.5000 0.7469 [2 per cell]  1 Ge 3.10, 2 As 3.12, 3 Cl 3.23-3.25
3 Ge 0.0000 0.5000 0.0000 [1 per cell]  6 Ac 3.10-3.11
4 As 0.0000 0.0000 0.5000 [1 per cell]  6 Ac 3.12
5 Cl 0.5000 0.0000 0.0000 [1 per cell]  6 Ac 3.23
6 Cl 0.5000 0.5000 0.5000 [1 per cell]  6 Ac 3.24-3.25

Formation energy from raw total energies ... -1390 meV/atom

---

The following is a DFT calculation (PBE) of crystalline Ac4GeAs2Cl at its relaxed geometry.

Cell lengths 6.3833, 6.3833, 12.8558 Å; angles 90.00, 90.00, 90.00 degrees
Last column: nearest neighbours and their distance in Å.
Space group I4/mmm (No. 139)
One atom of each set of equivalent atoms:
1 Ac 0.0000 0.0000 0.2421 [4 per cell]  1 Ge 3.11, 4 As 3.19, 1 Cl 3.32
2 Ac 0.0000 0.5000 0.0000 [4 per cell]  2 Ge 3.19, 2 Cl 3.19, 2 As 3.21
3 Ge 0.0000 0.0000 0.0000 [2 per cell]  6 Ac 3.11-3.19
4 As 0.0000 0.5000 0.2500 [4 per cell]  6 Ac 3.19-3.21
5 Cl 0.0000 0.0000 0.5000 [2 per cell]  6 Ac 3.19-3.32

Formation energy from raw total energies ... -1376 meV/atom

---

The following is a DFT calculation (PBE) of crystalline Ac6Ge2As3Cl at its relaxed geometry.

Cell lengths 19.8554, 4.5316, 9.1567 Å; angles 90.00, 103.49, 90.00 degrees
Last column: nearest neighbours and their distance in Å.
Space group C2/m (No. 12)
One atom of each set of equivalent atoms:
1 Ac 0.0009 0.0000 0.2654 [4 per cell]  3 As 3.13-3.16, 1 Ge 3.13, 2 Cl 3.32
2 Ac 0.1680 0.5000 0.5829 [4 per cell]  3 As 3.24-3.25, 3 Ge 3.25-3.27
3 Ac 0.1709 0.5000 0.0856 [4 per cell]  2 Ge 3.19, 3 As 3.20-3.21, 1 Cl 3.30
4 Ge 0.1628 0.0000 0.3258 [4 per cell]  6 Ac 3.13-3.27
5 As 0.0000 0.5000 0.5000 [2 per cell]  6 Ac 3.13-3.24
6 As 0.1627 0.0000 0.8346 [4 per cell]  6 Ac 3.16-3.25
7 Cl 0.0000 0.5000 0.0000 [2 per cell]  6 Ac 3.30-3.32

Formation energy from raw total energies ... -1270 meV/atom